! HfAgAsBr2, relaxed, DFT PBE; values from VASP
&SYSTEM
  ibrav = 0, nat = 5, ntyp = 4
/
ATOMIC_SPECIES
Hf 178.49 Hf.upf
Ag 107.87 Ag.upf
As 74.92 As.upf
Br 79.90 Br.upf
CELL_PARAMETERS angstrom
5.279 0.000 0.000
0.000 5.279 0.000
0.000 0.000 5.329
ATOMIC_POSITIONS crystal
Hf 0.000 0.000 0.000
Ag 0.500 0.500 0.000
As 0.000 0.000 0.500
Br 0.000 0.500 0.500
Br 0.500 0.000 0.500
! magnetic moment: 0.000 μB/atom
! energy relative to the lowest polymorph listed for this composition: 0.780 eV per atom
! total DFT energy (no corrections): -17.936 eV/f.u.

---

! Ce2GaAs, relaxed, DFT PBE; values from VASP
&SYSTEM
  ibrav = 0, nat = 4, ntyp = 3
/
ATOMIC_SPECIES
Ce 140.12 Ce.upf
Ga 69.72 Ga.upf
As 74.92 As.upf
CELL_PARAMETERS angstrom
1.913 1.104 9.896
-1.913 1.104 9.896
0.000 -2.209 9.896
ATOMIC_POSITIONS crystal
Ce 0.105 0.105 0.105
Ce 0.895 0.895 0.895
Ga 0.000 0.000 0.000
As 0.500 0.500 0.500
! energy relative to the elements: -0.311 eV per atom
! magnetic moment: 0.622 μB/atom
! energy relative to the lowest polymorph listed for this composition: 0.455 eV per atom
! total DFT energy (no corrections): -20.787 eV/f.u.

---

! Mn2TlPt2, relaxed, DFT PBE; values from VASP
&SYSTEM
  ibrav = 0, nat = 10, ntyp = 3
/
ATOMIC_SPECIES
Mn 54.94 Mn.upf
Tl 204.38 Tl.upf
Pt 195.08 Pt.upf
CELL_PARAMETERS angstrom
7.670 0.000 0.000
0.000 7.670 0.000
0.000 0.000 2.950
ATOMIC_POSITIONS crystal
Mn 0.158 0.342 0.000
Mn 0.342 0.842 0.000
Mn 0.658 0.158 0.000
Mn 0.842 0.658 0.000
Tl 0.000 0.000 0.500
Tl 0.500 0.500 0.500
Pt 0.135 0.635 0.500
Pt 0.365 0.135 0.500
Pt 0.635 0.865 0.500
Pt 0.865 0.365 0.500
! energy relative to the elements: -0.134 eV per atom
! magnetic moment: 1.666 μB/atom
! energy relative to the lowest polymorph listed for this composition: 0.000 eV per atom
! total DFT energy (no corrections): -33.459 eV/f.u.

---

! CeSmPt10, relaxed, DFT PBE; values from VASP
&SYSTEM
  ibrav = 0, nat = 12, ntyp = 3
/
ATOMIC_SPECIES
Ce 140.12 Ce.upf
Sm 150.36 Sm.upf
Pt 195.08 Pt.upf
CELL_PARAMETERS angstrom
4.453 0.000 0.000
0.000 5.404 0.000
0.000 0.000 9.328
ATOMIC_POSITIONS crystal
Ce 0.000 0.000 0.000
Sm 0.000 0.500 0.500
Pt 0.000 0.000 0.332
Pt 0.000 0.000 0.668
Pt 0.000 0.500 0.166
Pt 0.000 0.500 0.834
Pt 0.500 0.000 0.500
Pt 0.500 0.250 0.250
Pt 0.500 0.250 0.750
Pt 0.500 0.500 0.000
Pt 0.500 0.750 0.250
Pt 0.500 0.750 0.750
! energy relative to the elements: -0.716 eV per atom
! magnetic moment: 0.037 μB/atom
! total DFT energy (no corrections): -79.652 eV/f.u.

---

! Si2HgBr, relaxed, DFT PBE; values from VASP
&SYSTEM
  ibrav = 0, nat = 4, ntyp = 3
/
ATOMIC_SPECIES
Si 28.09 Si.upf
Hg 200.59 Hg.upf
Br 79.90 Br.upf
CELL_PARAMETERS angstrom
6.566 -1.850 0.000
6.566 1.850 0.000
-0.299 0.000 4.267
ATOMIC_POSITIONS crystal
Si 0.000 0.000 0.000
Si 0.610 0.610 0.100
Hg 0.462 0.462 0.517
Br 0.245 0.245 0.456
! magnetic moment: 0.000 μB/atom
! energy relative to the lowest polymorph listed for this composition: 0.208 eV per atom
! total DFT energy (no corrections): -11.396 eV/f.u.

---

! Cr2IrRh, relaxed, DFT PBE; values from VASP
&SYSTEM
  ibrav = 0, nat = 8, ntyp = 3
/
ATOMIC_SPECIES
Cr 52.00 Cr.upf
Ir 192.22 Ir.upf
Rh 102.91 Rh.upf
CELL_PARAMETERS angstrom
2.690 0.000 0.000
0.000 4.537 0.000
-1.342 -1.473 8.618
ATOMIC_POSITIONS crystal
Cr 0.075 0.290 0.150
Cr 0.183 0.044 0.366
Cr 0.817 0.956 0.634
Cr 0.925 0.710 0.850
Ir 0.312 0.442 0.625
Ir 0.688 0.558 0.375
Rh 0.447 0.211 0.893
Rh 0.553 0.789 0.107
! energy relative to the elements: -0.097 eV per atom
! magnetic moment: 0.000 μB/atom
! total DFT energy (no corrections): -35.846 eV/f.u.